# 1
Crystalline SiTeRh2 at its relaxed geometry. Source: Alexandria, functional GGA-PBE.

The formation energy without anion corrections is -70 meV/atom. Its energy relative to the lowest polymorph listed for this composition is 133 kJ/mol of formula units.

a = 4.5009 Å, b = 4.5009 Å, c = 4.5009 Å
α = 60.00°, β = 60.00°, γ = 60.00°
Fractional coordinates of all 4 atoms:
1 Si 0.0000 0.0000 0.0000
2 Te 0.5000 0.5000 0.5000
3 Rh 0.2500 0.2500 0.2500
4 Rh 0.7500 0.7500 0.7500

# 2
Crystalline LiIrOs at its relaxed geometry. Source: Alexandria, functional GGA-PBE.

Its energy relative to the lowest polymorph listed for this composition is 37 kJ/mol of formula units. Its formation enthalpy at 0 K is 10.0 kJ per mole of atoms.

a = 4.8701 Å, b = 4.8701 Å, c = 4.3528 Å
α = 90.00°, β = 90.00°, γ = 128.54°
Fractional coordinates of all 6 atoms:
1 Li 0.0890 0.9110 0.7500
2 Li 0.9110 0.0890 0.2500
3 Ir 0.2414 0.7586 0.2500
4 Ir 0.7586 0.2414 0.7500
5 Os 0.4334 0.5666 0.7500
6 Os 0.5666 0.4334 0.2500

# 3
Crystalline Ce6RuAu3 at its relaxed geometry. Source: Alexandria, functional GGA-PBE.

Its formation enthalpy at 0 K is -36.4 kJ per mole of atoms.

a = 5.5783 Å, b = 8.4777 Å, c = 11.8351 Å
α = 90.00°, β = 113.48°, γ = 90.00°
Fractional coordinates of all 20 atoms:
1 Ce 0.0063 0.1723 0.0448
2 Ce 0.0063 0.3277 0.5448
3 Ce 0.3334 0.5165 0.2361
4 Ce 0.3334 0.9835 0.7361
5 Ce 0.3979 0.1324 0.4268
6 Ce 0.3979 0.3676 0.9268
7 Ce 0.6021 0.6324 0.0732
8 Ce 0.6021 0.8676 0.5732
9 Ce 0.6666 0.0165 0.2639
10 Ce 0.6666 0.4835 0.7639
11 Ce 0.9937 0.6723 0.4552
12 Ce 0.9937 0.8277 0.9552
13 Ru 0.0000 0.0000 0.5000
14 Ru 0.0000 0.5000 0.0000
15 Au 0.1385 0.6462 0.7429
16 Au 0.1385 0.8538 0.2429
17 Au 0.5000 0.0000 0.0000
18 Au 0.5000 0.5000 0.5000
19 Au 0.8615 0.1462 0.7571
20 Au 0.8615 0.3538 0.2571

# 4
Crystalline BaCr2GaBr at its relaxed geometry. Source: Alexandria, functional GGA-PBE.

The formation energy without anion corrections is 613 meV/atom.

a = 5.0972 Å, b = 5.0972 Å, c = 6.1386 Å
α = 90.00°, β = 90.00°, γ = 90.00°
Fractional coordinates of all 5 atoms:
1 Ba 0.0000 0.0000 0.0000
2 Cr 0.0000 0.5000 0.5000
3 Cr 0.5000 0.0000 0.5000
4 Ga 0.5000 0.5000 0.0000
5 Br 0.0000 0.0000 0.5000

# 5
Crystalline Mg6AlCd at its relaxed geometry. Source: Alexandria, functional GGA-PBE.

Its energy relative to the lowest polymorph listed for this composition is 22 kJ/mol of formula units. Its formation enthalpy at 0 K is -0.5 kJ per mole of atoms.

a = 5.0809 Å, b = 6.3058 Å, c = 6.3058 Å
α = 58.88°, β = 90.00°, γ = 90.00°
Fractional coordinates of all 8 atoms:
1 Mg 0.0000 0.0000 0.0000
2 Mg 0.0000 0.4992 0.9940
3 Mg 0.0000 0.9940 0.4992
4 Mg 0.5000 0.1657 0.1657
5 Mg 0.5000 0.1682 0.6671
6 Mg 0.5000 0.6671 0.1682
7 Al 0.5000 0.6723 0.6723
8 Cd 0.0000 0.4962 0.4962

# 6
Crystalline Ac4GeAuBr2 at its relaxed geometry. Source: Alexandria, functional GGA-PBE.

The formation energy without anion corrections is -1066 meV/atom.

a = 7.8835 Å, b = 4.5326 Å, c = 8.2264 Å
α = 90.00°, β = 108.69°, γ = 90.00°
Fractional coordinates of all 8 atoms:
1 Ac 0.2178 0.0000 0.2361
2 Ac 0.2265 0.5000 0.7370
3 Ac 0.7735 0.5000 0.2630
4 Ac 0.7822 0.0000 0.7639
5 Ge 0.0000 0.0000 0.5000
6 Au 0.0000 0.5000 0.0000
7 Br 0.5000 0.0000 0.0000
8 Br 0.5000 0.5000 0.5000

The evaluated density for the records listed, in turn: 9.31, 16.01, 9.92, 4.07, 2.74, 7.98 g/cm3.